1.
{"formula": "LiNi3C", "functional": "PBE-GGA", "state": "relaxed", "cell": [[3.7587, 0.0000, 0.0000], [0.0000, 3.7587, 0.0000], [0.0000, 0.0000, 3.7587]], "species": ["Li", "Ni", "Ni", "Ni", "C"], "frac_coords": [[0.0000, 0.0000, 0.0000], [0.0000, 0.5000, 0.5000], [0.5000, 0.0000, 0.5000], [0.5000, 0.5000, 0.0000], [0.5000, 0.5000, 0.5000]], "m_tot_mub_per_cell": 0.70, "relative_energy_mev_per_atom": 22}

2.
{"formula": "LiNi3C", "functional": "PBE-GGA", "state": "relaxed", "cell": [[2.4313, -4.3151, 0.0000], [2.4313, 4.3151, 0.0000], [0.0000, 0.0000, 4.8719]], "species": ["Li", "Li", "Ni", "Ni", "Ni", "Ni", "Ni", "Ni", "C", "C"], "frac_coords": [[0.0400, 0.9600, 0.5000], [0.9600, 0.0400, 0.0000], [0.0431, 0.4653, 0.6435], [0.4582, 0.5417, 0.2857], [0.4653, 0.0431, 0.1435], [0.5347, 0.9569, 0.6435], [0.5417, 0.4582, 0.7857], [0.9569, 0.5347, 0.1435], [0.3409, 0.6591, 0.9484], [0.6591, 0.3409, 0.4484]], "m_tot_mub_per_cell": 0.01, "relative_energy_mev_per_atom": 0}